[1]
Crystalline Tm3PuBi4 at its relaxed geometry. Source: Alexandria via LeMat-Bulk, functional PBE.

Computed properties:
magnetic moment	5.1	μB/f.u.
space-group type	No. 221
distance to the lowest polymorph of the same formula	8	meV per atom

Unit cell a=6.3098 b=6.3098 c=6.3098 alpha=90.00 beta=90.00 gamma=90.00
Atoms (fractional coordinates):
Tm1 0.0000 0.0000 0.5000
Tm2 0.0000 0.5000 0.0000
Tm3 0.5000 0.0000 0.0000
Pu1 0.5000 0.5000 0.5000
Bi1 0.0000 0.0000 0.0000
Bi2 0.0000 0.5000 0.5000
Bi3 0.5000 0.0000 0.5000
Bi4 0.5000 0.5000 0.0000


[2]
Crystalline PmGa2Sb at its relaxed geometry. Source: Alexandria via LeMat-Bulk, functional PBE.

Computed properties:
uncorrected formation energy	-0.2027	eV per atom
magnetic moment	0.0	μB/f.u.
space-group type	No. 225
distance to the lowest polymorph of the same formula	342	meV per atom

Unit cell a=5.1754 b=5.1754 c=5.1754 alpha=60.00 beta=60.00 gamma=60.00
Atoms (fractional coordinates):
Pm1 0.0000 0.0000 0.0000
Ga1 0.2500 0.2500 0.2500
Ga2 0.7500 0.7500 0.7500
Sb1 0.5000 0.5000 0.5000


[3]
Crystalline ScAs2Br at its relaxed geometry. Source: Alexandria via LeMat-Bulk, functional PBE.

Computed properties:
uncorrected formation energy	-0.6419	eV per atom
magnetic moment	0.2	μB/f.u.
space-group type	No. 99
distance to the lowest polymorph of the same formula	161	meV per atom

Unit cell a=3.4900 b=3.4900 c=8.1755 alpha=90.00 beta=90.00 gamma=90.00
Atoms (fractional coordinates):
Sc1 0.0000 0.0000 0.0000
As1 0.0000 0.0000 0.3343
As2 0.5000 0.5000 0.2078
Br1 0.5000 0.5000 0.7961


[4]
Crystalline Rb3La2DySe6 at its relaxed geometry. Source: Alexandria via LeMat-Bulk, functional PBE.

Computed properties:
uncorrected formation energy	-1.7862	eV per atom
magnetic moment	0.0	μB/f.u.
space-group type	No. 12

Unit cell a=7.6123 b=7.6123 c=8.3938 alpha=98.70 beta=98.70 gamma=120.01
Atoms (fractional coordinates):
Rb1 0.0000 0.0000 0.0000
Rb2 0.3319 0.6681 0.0000
Rb3 0.6681 0.3319 0.0000
La1 0.1665 0.8335 0.5000
La2 0.8335 0.1665 0.5000
Dy1 0.5000 0.5000 0.5000
Se1 0.1115 0.4336 0.3007
Se2 0.2447 0.2447 0.6995
Se3 0.4336 0.1115 0.3007
Se4 0.5664 0.8885 0.6993
Se5 0.7553 0.7553 0.3005
Se6 0.8885 0.5664 0.6993


> Which formula does entry 3 have?

ScAs2Br


> magnetic moment of number 4 (Rb3La2DySe6)?

0.0 μB/f.u.